i) A plane-wave DFT calculation with PBE was carried out for a geometry-optimized Mg2MnW structure.

Cell: 3.072 4.333 9.401 Å, 90.00 90.00 90.00°
Space group Immm (No. 71)
Symmetry-distinct sites (fractional):
1 Mg 0.000 0.000 0.233 [4 per cell]
2 Mn 0.000 0.500 0.500 [2 per cell]
3 W 0.000 0.500 0.000 [2 per cell]

Calculated values
Total magnetization: 0.679 μB per formula unit
Crystal system: orthorhombic

***

ii) A plane-wave DFT calculation with PBE was carried out for a geometry-optimized Mg2MnW structure.

Cell: 3.780 3.780 9.080 Å, 90.00 90.00 90.00°
Space group I4/mmm (No. 139)
Symmetry-distinct sites (fractional):
1 Mg 0.000 0.500 0.250 [4 per cell]
2 Mn 0.000 0.000 0.000 [2 per cell]
3 W 0.000 0.000 0.500 [2 per cell]

Calculated values
Total magnetization: 1.476 μB per formula unit
Crystal system: tetragonal

***

i) (50 meV/atom below the next structure)

***

i) A plane-wave DFT calculation with PBE was carried out for a geometry-optimized Mg2MnW structure.

Cell: 3.774 3.774 4.531 Å, 90.00 90.00 90.00°
Space group P4/mmm (No. 123)
Symmetry-distinct sites (fractional):
1 Mg 0.000 0.500 0.000 [2 per cell]
2 Mn 0.000 0.000 0.500 [1 per cell]
3 W 0.500 0.500 0.500 [1 per cell]

Calculated values
Total magnetization: 1.263 μB per formula unit
Crystal system: tetragonal

***

ii) A plane-wave DFT calculation with PBE was carried out for a geometry-optimized Mg2MnW structure.

Cell: 9.109 2.770 5.343 Å, 90.00 95.56 90.00°
Space group Cm (No. 8)
Symmetry-distinct sites (fractional):
1 Mg 0.000 0.000 0.000 [2 per cell]
2 Mg 0.243 0.000 0.750 [2 per cell]
3 Mn 0.496 0.000 0.460 [2 per cell]
4 W 0.251 0.500 0.278 [2 per cell]

Calculated values
Total magnetization: 2.217 μB per formula unit
Crystal system: monoclinic

***

ii) (65 meV/atom below the next structure)

***

i) A plane-wave DFT calculation with PBE was carried out for a geometry-optimized Mg2MnW structure.

Cell: 2.776 4.274 5.751 Å, 90.00 102.51 90.00°
Space group Pm (No. 6)
Symmetry-distinct sites (fractional):
1 Mg 0.000 0.000 0.000 [1 per cell]
2 Mg 0.304 0.500 0.727 [1 per cell]
3 Mn 0.777 0.500 0.270 [1 per cell]
4 W 0.603 0.000 0.458 [1 per cell]

Calculated values
Total magnetization: 1.660 μB per formula unit
Crystal system: monoclinic

***

ii) A plane-wave DFT calculation with PBE was carried out for a geometry-optimized Mg2MnW structure.

Cell: 3.081 3.081 7.116 Å, 90.00 90.00 90.00°
Space group P4mm (No. 99)
Symmetry-distinct sites (fractional):
1 Mg 0.000 0.000 0.000 [1 per cell]
2 Mg 0.500 0.500 0.312 [1 per cell]
3 Mn 0.000 0.000 0.561 [1 per cell]
4 W 0.500 0.500 0.726 [1 per cell]

Calculated values
Total magnetization: 0.218 μB per formula unit
Crystal system: tetragonal

***

iii) A plane-wave DFT calculation with PBE was carried out for a geometry-optimized Mg2MnW structure.

Cell: 6.349 6.349 6.349 Å, 90.00 90.00 90.00°
Space group Fm-3m (No. 225)
Symmetry-distinct sites (fractional):
1 Mg 0.250 0.250 0.250 [8 per cell]
2 Mn 0.000 0.000 0.000 [4 per cell]
3 W 0.000 0.000 0.500 [4 per cell]

Calculated values
Total magnetization: 0.904 μB per formula unit
Crystal system: cubic

***

ii) (141 meV/atom below the next structure)

***

i) A plane-wave DFT calculation with PBE was carried out for a geometry-optimized Mg2MnW structure.

Cell: 2.8680 2.8680 29.1187 Å, 90.00 90.00 120.00°
Space group R-3m (No. 166, hexagonal axes)
Symmetry-distinct sites (fractional):
1 Mg 0.0000 0.0000 0.2489 [6 per cell]
2 Mn 0.0000 0.0000 0.5000 [3 per cell]
3 W 0.0000 0.0000 0.0000 [3 per cell]

Calculated values
Total magnetization: 3.735 μB per formula unit
Crystal system: trigonal

***

ii) A plane-wave DFT calculation with PBE was carried out for a geometry-optimized Mg2MnW structure.

Cell: 6.302 6.302 6.302 Å, 90.00 90.00 90.00°
Space group F-43m (No. 216)
Symmetry-distinct sites (fractional):
1 Mg 0.000 0.000 0.000 [4 per cell]
2 Mg 0.250 0.250 0.250 [4 per cell]
3 Mn 0.250 0.250 0.750 [4 per cell]
4 W 0.000 0.000 0.500 [4 per cell]

Calculated values
Total magnetization: 1.006 μB per formula unit
Crystal system: cubic

***

iii) A plane-wave DFT calculation with PBE was carried out for a geometry-optimized Mg2MnW structure.

Cell: 3.565 4.235 9.083 Å, 90.00 90.00 90.00°
Space group Cmmm (No. 65)
Symmetry-distinct sites (fractional):
1 Mg 0.000 0.000 0.248 [4 per cell]
2 Mn 0.000 0.500 0.000 [2 per cell]
3 W 0.000 0.500 0.500 [2 per cell]

Calculated values
Total magnetization: 3.578 μB per formula unit
Crystal system: orthorhombic

***

iii) (8 meV/atom below the next structure)

***

i) A plane-wave DFT calculation with PBE was carried out for a geometry-optimized Mg2MnW structure.

Cell: 4.883 4.883 2.881 Å, 90.00 90.00 90.00°
Space group P4/mmm (No. 123)
Symmetry-distinct sites (fractional):
1 Mg 0.000 0.500 0.000 [2 per cell]
2 Mn 0.000 0.000 0.500 [1 per cell]
3 W 0.500 0.500 0.500 [1 per cell]

Calculated values
Total magnetization: 3.714 μB per formula unit
Crystal system: tetragonal

***

ii) A plane-wave DFT calculation with PBE was carried out for a geometry-optimized Mg2MnW structure.

Cell: 3.167 4.745 8.913 Å, 90.00 90.00 90.00°
Space group Imm2 (No. 44)
Symmetry-distinct sites (fractional):
1 Mg 0.000 0.000 0.000 [2 per cell]
2 Mg 0.000 0.500 0.222 [2 per cell]
3 Mn 0.000 0.500 0.754 [2 per cell]
4 W 0.000 0.000 0.441 [2 per cell]

Calculated values
Total magnetization: 0.281 μB per formula unit
Crystal system: orthorhombic

***

ii) (240 meV/atom below the next structure)

***

i) A plane-wave DFT calculation with PBE was carried out for a geometry-optimized Mg2MnW structure.

Cell: 2.786 2.786 8.968 Å, 90.00 90.00 90.00°
Space group P4mm (No. 99)
Symmetry-distinct sites (fractional):
1 Mg 0.000 0.000 0.000 [1 per cell]
2 Mg 0.500 0.500 0.294 [1 per cell]
3 Mn 0.000 0.000 0.533 [1 per cell]
4 W 0.500 0.500 0.751 [1 per cell]

Calculated values
Total magnetization: 3.312 μB per formula unit
Crystal system: tetragonal

***

ii) A plane-wave DFT calculation with PBE was carried out for a geometry-optimized Mg2MnW structure.

Cell: 5.383 9.449 2.720 Å, 90.00 107.49 90.00°
Space group C2/m (No. 12)
Symmetry-distinct sites (fractional):
1 Mg 0.250 0.250 0.000 [4 per cell]
2 Mn 0.000 0.000 0.500 [2 per cell]
3 W 0.000 0.500 0.500 [2 per cell]

Calculated values
Total magnetization: 2.497 μB per formula unit
Crystal system: monoclinic

***

i) (105 meV/atom below the next structure)